Material: Li7Mn2Co3O12
Method: DFT, PBE+U
State: optimized geometry

Structure (POSCAR):
```
Li7Mn2Co3O12
1.0
-1.084 -2.673 0.752
2.397 2.251 6.806
-9.007 4.149 -0.381
O Co Li Mn
12 3 7 2
Cartesian
-3.273 1.123 1.810
-5.617 1.958 0.440
-6.029 5.161 6.074
-7.228 3.641 3.968
-1.664 -1.434 1.102
-0.465 0.086 3.209
0.664 1.887 5.097
-2.076 1.769 6.737
-4.420 2.604 5.367
-5.661 0.916 3.138
-8.358 1.841 2.079
-2.033 2.811 4.038
-2.713 3.497 5.518
-4.980 0.230 1.659
1.198 1.125 3.403
-5.095 4.213 4.310
-2.598 -0.485 2.866
-2.607 0.473 0.076
-1.332 1.060 4.873
-3.847 1.864 3.588
-6.362 2.667 2.304
-5.086 3.254 7.100
-8.964 3.607 1.045
1.271 0.120 6.132
```

## Properties
The theoretical density comes out at 4.1 g cm⁻³. The value obtained for the spin magnetization is 0.5833 μB per atom. The calculation puts the offset from the most stable computed form at 69 meV/atom.